CdHgIr: relaxed, PBE.

Unit cell a=9.060 b=3.040 c=9.474 alpha=90.00 beta=114.90 gamma=90.00
Space group Cm (No. 8)
Inequivalent atoms, fractional coordinates:
Cd1 0.000 0.000 0.000 x2
Cd2 0.160 0.000 0.383 x2
Hg1 0.312 0.500 0.183 x2
Hg2 0.467 0.500 0.561 x2
Ir1 0.152 0.500 0.840 x2
Ir2 0.315 0.000 0.727 x2

## Properties
volume	237	Å³/cell
total magnetization	0.00	μB per atom
N(E_F)	6.9	states/eV per cell
energy of formation	0.262	eV per atom